First-principles (PBE) data for a relaxed EuTmAg crystal, as listed in the Alexandria database.

Polymorph energy (0 for the lowest one) ... 154 meV per atom
Energy of formation ... -1 kJ per mole of atoms
Size of the total moment ... 7.4 Bohr magnetons per cell
Final energy ... -5.871 eV/atom

a b c (Å): 5.1041 5.1041 3.8756
angles (deg): 90.00 90.00 120.00
Space group P3m1 (No. 156)
Asymmetric unit:
Eu1 0.0000 0.0000 0.0000
Tm1 0.3333 0.6667 0.4894
Ag1 0.6667 0.3333 0.5397